The following is a DFT calculation (GGA+U) of AcScMo2O8 after structural relaxation.

Output
Electronic total energy   -7.611 eV per atom
Space-group type   P-3m1, No. 164

Lattice parameters (Å, degrees): 5.889 5.889 6.932 90.00 90.00 120.00
Positions (direct):
1 Ac 0.000 0.000 0.000
2 Sc 0.000 0.000 0.500
3 Mo 0.333 0.667 0.230
4 Mo 0.667 0.333 0.770
5 O 0.155 0.311 0.300
6 O 0.155 0.845 0.300
7 O 0.311 0.155 0.700
8 O 0.333 0.667 0.969
9 O 0.667 0.333 0.031
10 O 0.689 0.845 0.300
11 O 0.845 0.155 0.700
12 O 0.845 0.689 0.700